Density functional theory data (GGA-PBE) for crystalline HfPCl2O at its relaxed geometry.

Structure (CIF):
```
data_HfPCl2O
_chemical_formula_sum 'Hf1 P1 Cl2 O1'
_space_group_name_H-M_alt 'P 4/m m m'
_space_group_IT_number 123
_space_group_name_Hall '-P 4 2'
_cell_length_a 4.918
_cell_length_b 4.918
_cell_length_c 5.142
_cell_angle_alpha 90.00
_cell_angle_beta 90.00
_cell_angle_gamma 90.00
loop_
_atom_site_label
_atom_site_fract_x
_atom_site_fract_y
_atom_site_fract_z
Hf1 0.000 0.000 0.000
P1 0.000 0.000 0.500
Cl1 0.000 0.500 0.000
O1 0.500 0.500 0.500
```

Results
Uncorrected formation energy = -63 kJ/mol of formula units
Energy above the most stable polymorph in this dataset = 0 meV per atom
DFT total energy = -4.933 eV/atom



Density functional theory data (GGA-PBE) for crystalline CePrDy5Tm2 at its relaxed geometry.

Structure (CIF):
```
data_CePrDy5Tm2
_chemical_formula_sum 'Ce4 Pr4 Dy20 Tm8'
_space_group_name_H-M_alt 'C m c 21'
_space_group_IT_number 36
_cell_length_a 5.683
_cell_length_b 21.459
_cell_length_c 9.580
_cell_angle_alpha 90.00
_cell_angle_beta 90.00
_cell_angle_gamma 90.00
loop_
_space_group_symop_operation_xyz
'x,y,z'
'-x,-y,z+1/2'
'-x,y,z'
'x,-y,z+1/2'
'x+1/2,y+1/2,z'
'-x+1/2,-y+1/2,z+1/2'
'-x+1/2,y+1/2,z'
'x+1/2,-y+1/2,z+1/2'
loop_
_atom_site_label
_atom_site_fract_x
_atom_site_fract_y
_atom_site_fract_z
Ce1 0.000 0.196 0.000
Pr1 0.000 0.403 0.603
Dy1 0.000 0.012 0.008
Dy2 0.000 0.266 0.691
Dy3 0.000 0.306 0.308
Dy4 0.000 0.394 0.985
Dy5 0.000 0.471 0.279
Tm1 0.000 0.113 0.702
Tm2 0.000 0.138 0.321
```

Results
DFT total energy = -4.562 eV/atom
Energy of formation from the pure elements = 179 meV per atom



Density functional theory data (GGA-PBE) for crystalline NbMo2Pt at its relaxed geometry.

Structure (CIF):
```
data_NbMo2Pt
_chemical_formula_sum 'Nb1 Mo2 Pt1'
_space_group_name_H-M_alt 'P 4/m m m'
_space_group_IT_number 123
_space_group_name_Hall '-P 4 2'
_cell_length_a 3.927
_cell_length_b 3.927
_cell_length_c 4.225
_cell_angle_alpha 90.00
_cell_angle_beta 90.00
_cell_angle_gamma 90.00
loop_
_atom_site_label
_atom_site_fract_x
_atom_site_fract_y
_atom_site_fract_z
Nb1 0.000 0.000 0.000
Mo1 0.000 0.500 0.500
Pt1 0.500 0.500 0.000
```

Results
Energy above the most stable polymorph in this dataset = 0 meV per atom
DFT total energy = -9.600 eV/atom
Energy of formation from the pure elements = -157 meV per atom



Density functional theory data (GGA-PBE) for crystalline NbCr2H2 at its relaxed geometry.

Structure (CIF):
```
data_NbCr2H2
_chemical_formula_sum 'Nb2 Cr4 H4'
_space_group_name_H-M_alt 'I 4/m m m'
_space_group_IT_number 139
_space_group_name_Hall '-I 4 2'
_cell_length_a 3.150
_cell_length_b 3.150
_cell_length_c 9.378
_cell_angle_alpha 90.00
_cell_angle_beta 90.00
_cell_angle_gamma 90.00
loop_
_atom_site_label
_atom_site_fract_x
_atom_site_fract_y
_atom_site_fract_z
Nb1 0.000 0.000 0.000
Cr1 0.000 0.000 0.341
H1 0.000 0.500 0.250
```

Results
DFT total energy = -7.133 eV/atom



| no. | total magnetic moment (μB/f.u.) |
| --- | --- |
| 1 | 0.91 |
| 2 | 0.86 |
| 3 | 0.00 |
| 4 | 0.00 |